Entry 1:
CsKCdH4: relaxed, PBE.

Cell: 6.4230 6.4230 8.5775 Å, 90.00 90.00 120.00°
Atoms (fractional coordinates):
H1 0.8294 0.6986 0.2500
H2 0.1706 0.3014 0.7500
H3 0.3014 0.1706 0.2500
K1 0.5000 0.5000 0.5000
H4 0.2650 0.7350 0.0810
Cs1 0.8192 0.1808 0.2500
Cd1 0.8366 0.1634 0.7500
H5 0.7350 0.2650 0.5810
Cs2 0.1808 0.8192 0.7500
H6 0.6986 0.8294 0.7500
H7 0.7350 0.2650 0.9190
Cd2 0.1634 0.8366 0.2500
H8 0.2650 0.7350 0.4190
K2 0.5000 0.5000 0.0000

Results
Raw total energy (eV per atom): -2.4901
Magnetization (μB/atom): 0.00

Entry 2:
PmAl2Cu6: relaxed, PBE.

Cell: 7.7508 7.7508 7.7508 Å, 60.00 60.00 60.00°
Atoms (fractional coordinates):
Cu1 0.7514 0.2486 0.2486
Cu2 0.4986 0.0014 0.0014
Cu3 0.2486 0.7514 0.7514
Cu4 0.0014 0.4986 0.0014
Cu5 0.0014 0.4986 0.4986
Pm1 0.7500 0.7500 0.7500
Cu6 0.0014 0.0014 0.4986
Cu7 0.2486 0.7514 0.2486
Cu8 0.4986 0.4986 0.0014
Al1 0.1250 0.1250 0.6250
Al2 0.6250 0.1250 0.1250
Al3 0.1250 0.6250 0.1250
Cu9 0.7514 0.2486 0.7514
Cu10 0.2486 0.2486 0.7514
Al4 0.1250 0.1250 0.1250
Cu11 0.4986 0.0014 0.4986
Pm2 0.5000 0.5000 0.5000
Cu12 0.7514 0.7514 0.2486

Results
Raw total energy (eV per atom): -3.7647
Magnetization (μB/atom): 0.00

Entry 3:
K3FeCu2Cl9: relaxed, PBE.

Cell: 6.9298 6.9298 8.4903 Å, 90.00 90.00 120.00°
Last column: magnetic moment on the atom in μB.
Atoms (fractional coordinates):
Cl1 0.6709 0.8355 0.3367  0.06
Cl2 0.0000 0.5000 0.0000  -0.06
K1 0.0000 0.0000 0.0000  0.00
Cl3 0.8355 0.6709 0.6633  0.06
Fe1 0.0000 0.0000 0.5000  3.62
Cl4 0.3291 0.1645 0.6633  0.06
Cl5 0.1645 0.3291 0.3367  0.06
Cl6 0.5000 0.5000 0.0000  -0.06
K2 0.3333 0.6667 0.6760  0.00
Cl7 0.5000 0.0000 0.0000  -0.06
Cu1 0.3333 0.6667 0.1574  -0.28
Cu2 0.6667 0.3333 0.8426  -0.28
K3 0.6667 0.3333 0.3240  0.00
Cl8 0.1645 0.8355 0.3367  0.06
Cl9 0.8355 0.1645 0.6633  0.06

Results
Magnetization (μB/atom): 0.23
Energy relative to the elements, uncorrected (meV/atom): -1145

Entry 4:
Ba2ZrIn: relaxed, PBE.

Cell: 4.9531 4.9531 5.5394 Å, 90.00 90.00 90.00°
Last column: magnetic moment on the atom in μB.
Atoms (fractional coordinates):
Zr1 0.0000 0.5000 0.5000  0.35
Ba1 0.5000 0.5000 0.0000  0.03
In1 0.5000 0.0000 0.5000  -0.03
Ba2 0.0000 0.0000 0.0000  0.03

Results
Raw total energy (eV per atom): -3.4972
Magnetization (μB/atom): 0.16

Entry 5:
CaTb2Hg: relaxed, PBE.

Cell: 4.7311 4.9413 4.9413 Å, 90.00 90.00 90.00°
Atoms (fractional coordinates):
Tb1 0.0000 0.0000 0.5000
Hg1 0.5000 0.5000 0.5000
Ca1 0.5000 0.0000 0.0000
Tb2 0.0000 0.5000 0.0000

Results
Offset from the most stable computed form (eV per formula unit): 0.137
Magnetization (μB/atom): 0.00

Entry 6:
TbDyGaGe: relaxed, PBE.

Cell: 4.3327 4.0114 5.8269 Å, 90.00 111.83 90.00°
Atoms (fractional coordinates):
Dy1 0.8603 0.5000 0.7205
Tb1 0.1397 0.0000 0.2794
Ga1 0.5792 0.5000 0.1584
Ge1 0.4208 0.0000 0.8417

Results
Offset from the most stable computed form (eV per formula unit): 0.000
Magnetization (μB/atom): 0.00

Entry 7:
Y2MnC2: relaxed, PBE.

Cell: 6.1784 6.1297 7.7149 Å, 90.00 100.34 90.00°
Atoms (fractional coordinates):
C1 0.2528 0.0579 0.8421
C2 0.2472 0.5579 0.1579
C3 0.7472 0.9421 0.1579
Mn1 0.8577 0.0873 0.3886
Mn2 0.6423 0.5873 0.6114
C4 0.1673 0.1677 0.4320
Mn3 0.1423 0.9127 0.6114
Y1 0.4141 0.8802 0.3217
Y2 0.4663 0.7316 0.9255
Mn4 0.3577 0.4127 0.3886
C5 0.3327 0.6677 0.5680
Y3 0.0337 0.2316 0.0745
Y4 0.9141 0.6198 0.3217
Y5 0.9663 0.7684 0.9255
Y6 0.0859 0.3802 0.6783
C6 0.8327 0.8323 0.5680
Y7 0.5859 0.1198 0.6783
Y8 0.5337 0.2684 0.0745
C7 0.6673 0.3323 0.4320
C8 0.7528 0.4421 0.8421

Results
Offset from the most stable computed form (eV per formula unit): 0.568
Magnetization (μB/atom): 0.00

Entry 8:
In2Rh3O8: relaxed, PBE.

Cell: 5.1576 6.2043 6.2043 Å, 59.45 74.03 74.03°
Last column: magnetic moment on the atom in μB.
Atoms (fractional coordinates):
O1 0.1047 0.3417 0.8978  0.01
Rh1 0.5000 0.2530 0.7470  0.26
O2 0.5766 0.6064 0.6064  0.10
O3 0.5867 0.1043 0.1043  0.02
O4 0.1047 0.8978 0.3417  0.01
In1 0.8505 0.7184 0.7184  0.00
O5 0.4234 0.3936 0.3936  0.10
O6 0.8953 0.6583 0.1022  0.01
O7 0.4133 0.8957 0.8957  0.02
In2 0.1495 0.2816 0.2816  0.00
O8 0.8953 0.1022 0.6583  0.01
Rh2 0.0000 0.0000 0.0000  0.10
Rh3 0.5000 0.7470 0.2530  0.26

Results
Magnetization (μB/atom): 0.07
Energy relative to the elements, uncorrected (meV/atom): -992

| no. | Fermi-level density of states (states/eV/cell) |
| --- | --- |
| 1 | 0.000 |
| 2 | 9.986 |
| 3 | 4.856 |
| 4 | 4.183 |
| 5 | 4.280 |
| 6 | 3.345 |
| 7 | 10.484 |
| 8 | 8.111 |